[1]
LaMg2CoH after structural relaxation, computed with PBE.

Cell and atoms, written as POSCAR:
```
LaMg2CoH
1.0
4.8786 0.0000 0.0000
0.0000 5.0095 0.0000
0.0000 0.0000 4.8786
H Mg Co La
1 2 1 1
Cartesian
2.4393 2.5048 2.4393
0.0000 0.0000 2.4393
2.4393 0.0000 0.0000
0.0000 0.0000 0.0000
0.0000 2.5048 0.0000
```

Properties
D(E_F) in states/eV/atom: 0.613


[2]
Sr3YGa2O8 after structural relaxation, computed with PBE.

Cell and atoms, written as POSCAR:
```
Sr3YGa2O8
1.0
-4.6772 1.5944 3.2614
1.1467 -5.7343 -0.9264
4.1277 -0.1422 5.9892
Sr Y Ga O
3 1 2 8
Cartesian
1.8409 -3.3822 4.2935
-1.2437 -0.8999 4.0306
0.0000 0.0000 0.0000
2.0639 -0.0711 2.9946
0.0317 -3.3198 1.6684
0.5655 -0.9622 6.6557
3.1402 -3.4269 6.1788
-2.5430 -0.8551 2.1453
1.4442 -4.5318 1.6554
-0.8470 0.2497 6.6687
0.8828 -1.7243 2.1090
-0.2856 -2.5577 6.2151
-0.8457 -3.7512 3.2522
1.4429 -0.5309 5.0720
```

Properties
Formation energy (no corrections) in meV/atom: -2417
D(E_F) in states/eV/atom: 0.912


[3]
Pm3Cd2Sn2 after structural relaxation, computed with PBE.

Cell and atoms, written as POSCAR:
```
Pm3Cd2Sn2
1.0
4.5812 0.0000 0.0000
0.0000 4.3303 0.0000
-2.2906 -2.1652 10.1554
Pm Cd Sn
3 2 2
Cartesian
0.0000 0.0000 0.0000
2.2906 0.0000 3.8399
0.0000 2.1652 6.3155
2.2906 2.1652 1.3528
0.0000 0.0000 8.8026
0.0000 2.1652 3.0838
2.2906 0.0000 7.0716
```

Properties
Energy of formation from the pure elements in eV per atom: -0.528
D(E_F) in states/eV/atom: 0.882


[4]
FeAgHg after structural relaxation, computed with PBE.

Cell and atoms, written as POSCAR:
```
FeAgHg
1.0
6.4372 0.0106 -0.0110
5.7700 2.8531 0.0094
0.6672 0.1344 2.8394
Ag Fe Hg
1 1 1
Cartesian
0.8087 0.1679 2.8045
8.3242 1.9453 0.9543
4.4087 1.0193 1.9183
```

Properties
Energy of formation from the pure elements in eV per atom: 0.365
Excess energy over the best structure of this formula in the dataset in meV per atom: 0
D(E_F) in states/eV/atom: 0.732


[5]
Pa2TcH4 after structural relaxation, computed with PBE.

Cell and atoms, written as POSCAR:
```
Pa2TcH4
1.0
3.6624 0.0000 0.0000
0.0000 3.6624 0.0000
1.8312 1.8312 6.0592
H Pa Tc
4 2 1
Cartesian
1.8312 1.8312 4.1669
3.6624 3.6624 1.8923
0.0000 1.8312 0.0000
1.8312 0.0000 0.0000
1.8312 1.8312 1.6830
3.6624 3.6624 4.3762
0.0000 0.0000 0.0000
```

Properties
D(E_F) in states/eV/atom: 0.947


[6]
Y2CrRu after structural relaxation, computed with PBE.

Cell and atoms, written as POSCAR:
```
Y2CrRu
1.0
4.8778 0.0000 0.0000
2.4389 4.2243 0.0000
2.4389 1.4081 3.9827
Cr Ru Y
1 1 2
Cartesian
4.8778 2.8162 1.9914
7.3168 4.2243 2.9871
0.0000 0.0000 0.0000
2.4389 1.4081 0.9957
```

Properties
Energy of formation from the pure elements in eV per atom: 0.325
D(E_F) in states/eV/atom: 1.457


[7]
Cd2HgBiPb after structural relaxation, computed with PBE.

Cell and atoms, written as POSCAR:
```
Cd2HgBiPb
1.0
4.2467 0.0000 0.0000
0.0000 8.0556 -0.5049
0.0000 -0.7445 8.1344
Cd Hg Bi Pb
4 2 2 2
Cartesian
3.1850 5.6312 6.1248
1.0617 1.6799 1.5047
1.0617 0.0319 5.2120
3.1850 7.2792 2.4175
1.0617 6.8088 0.2207
3.1850 0.5023 7.4088
3.1850 2.1599 3.8456
1.0617 5.1512 3.7839
3.1850 4.2375 1.1287
1.0617 3.0736 6.5008
```

Properties
Energy of formation from the pure elements in eV per atom: 0.036
D(E_F) in states/eV/atom: 0.312


[8]
CdBiPd4 after structural relaxation, computed with PBE.

Cell and atoms, written as POSCAR:
```
CdBiPd4
1.0
-0.3257 -0.7105 3.7270
3.1690 -3.6235 1.5316
2.3236 5.4802 3.1932
Cd Bi Pd
1 1 4
Cartesian
0.0000 0.0000 0.0000
2.5834 0.5731 4.2259
3.3111 2.1862 6.5425
3.7609 -2.0461 3.8295
1.8557 -1.0400 1.9094
1.4060 3.1923 4.6223
```

Properties
Energy of formation from the pure elements in eV per atom: -0.242
Excess energy over the best structure of this formula in the dataset in meV per atom: 0
D(E_F) in states/eV/atom: 0.485


[9]
CdTcPb2 after structural relaxation, computed with PBE.

Cell and atoms, written as POSCAR:
```
CdTcPb2
1.0
3.4228 0.0000 0.0000
0.0000 3.2478 -0.2243
0.0000 1.7163 8.7707
Cd Pb Tc
1 2 1
Cartesian
1.7114 3.7231 6.4098
0.0000 2.7563 0.3103
0.0000 2.9737 3.7386
1.7114 1.2410 2.1366
```

Properties
Energy of formation from the pure elements in eV per atom: 0.432
D(E_F) in states/eV/atom: 0.898


[10]
MnHPtW2 after structural relaxation, computed with PBE.

Cell and atoms, written as POSCAR:
```
MnHPtW2
1.0
3.9584 0.0000 0.0000
0.0000 3.9584 0.0000
0.0000 0.0000 3.8546
H Mn W Pt
1 1 2 1
Cartesian
0.0000 0.0000 0.0000
0.0000 0.0000 1.9273
0.0000 1.9792 0.0000
1.9792 0.0000 0.0000
1.9792 1.9792 1.9273
```

Properties
D(E_F) in states/eV/atom: 0.478


[11]
Ca2InGa2 after structural relaxation, computed with PBE.

Cell and atoms, written as POSCAR:
```
Ca2InGa2
1.0
3.9160 0.0000 0.0000
0.0000 4.1394 -1.1768
0.0000 -0.0309 7.7600
Ca In Ga
2 1 2
Cartesian
1.9580 2.5770 1.1961
1.9580 1.5315 5.3871
0.0000 0.0000 0.0000
0.0000 0.8329 2.9296
0.0000 3.2757 3.6536
```

Properties
Energy of formation from the pure elements in eV per atom: -0.446
Excess energy over the best structure of this formula in the dataset in meV per atom: 11
D(E_F) in states/eV/atom: 0.598


[12]
Fe3TeMo after structural relaxation, computed with PBE.

Cell and atoms, written as POSCAR:
```
Fe3TeMo
1.0
-3.1325 -1.0315 3.1488
3.2801 -0.3526 3.1477
-0.4686 4.4275 0.9842
Mo Te Fe
1 1 3
Cartesian
0.0000 0.0000 0.0000
-0.1605 1.5217 3.6403
1.6401 -0.1763 1.5738
-0.2343 2.2138 0.4921
-1.5662 -0.5157 1.5744
```

Properties
Formation energy (no corrections) in meV/atom: 1381
D(E_F) in states/eV/atom: 1.727


Number 1: energy -3.476 eV/atom. Number 2: energy -6.504 eV/atom. Number 3: energy -3.969 eV/atom. Number 4: energy -3.507 eV/atom. Number 5: energy -6.222 eV/atom. Number 6: energy -7.632 eV/atom. Number 7: energy -1.908 eV/atom. Number 8: energy -4.504 eV/atom. Number 9: energy -4.242 eV/atom. Number 10: energy -8.904 eV/atom. Number 11: energy -3.005 eV/atom. Number 12: energy -6.492 eV/atom.